No. 1
The following is a PBE calculation of an optimized crystal structure of La3AlGe, from Alexandria.

Computed properties:
* offset from the most stable computed form: 421 meV per atom
* energy: -23.7 eV per cell
* volume: 37.45 Å³ per atom
* M_tot: 0.00 μB per cell

a = 5.7211 Å, b = 5.7211 Å, c = 5.7211 Å
α = 90.00°, β = 90.00°, γ = 90.00°
Space group Pm-3m (No. 221)
Inequivalent atoms, fractional coordinates:
1 La 0.0000 0.0000 0.5000 (multiplicity 3)
2 Al 0.5000 0.5000 0.5000 (multiplicity 1)
3 Ge 0.0000 0.0000 0.0000 (multiplicity 1)

No. 2
The following is a PBE calculation of an optimized crystal structure of Cu3GeAu3, from Alexandria.

Computed properties:
* energy: -105.5 eV per cell
* volume: 16.18 Å³ per atom
* M_tot: 0.00 μB per cell

a = 7.6809 Å, b = 7.6809 Å, c = 7.6809 Å
α = 90.00°, β = 90.00°, γ = 90.00°
Space group P2_13 (No. 198)
Inequivalent atoms, fractional coordinates:
1 Cu 0.1325 0.3675 0.6325 (multiplicity 4)
2 Cu 0.1627 0.1627 0.1627 (multiplicity 4)
3 Cu 0.1730 0.8270 0.3270 (multiplicity 4)
4 Ge 0.0372 0.5372 0.9628 (multiplicity 4)
5 Au 0.0277 0.6958 0.6217 (multiplicity 12)

No. 3
The following is a PBE calculation of an optimized crystal structure of TmTh2Zr, from Alexandria.

Computed properties:
* offset from the most stable computed form: 4 meV per atom
* energy: -27.5 eV per cell
* volume: 29.33 Å³ per atom
* M_tot: 0.00 μB per cell

a = 4.9222 Å, b = 4.9222 Å, c = 4.8425 Å
α = 90.00°, β = 90.00°, γ = 90.00°
Space group P4/mmm (No. 123)
Inequivalent atoms, fractional coordinates:
1 Tm 0.0000 0.0000 0.0000 (multiplicity 1)
2 Th 0.0000 0.5000 0.5000 (multiplicity 2)
3 Zr 0.5000 0.5000 0.0000 (multiplicity 1)

Question: Number 3 is which compound?
Answer: TmTh2Zr

Copy entry 2 word for word.
The following is a PBE calculation of an optimized crystal structure of Cu3GeAu3, from Alexandria.

Computed properties:
* energy: -105.5 eV per cell
* volume: 16.18 Å³ per atom
* M_tot: 0.00 μB per cell

a = 7.6809 Å, b = 7.6809 Å, c = 7.6809 Å
α = 90.00°, β = 90.00°, γ = 90.00°
Space group P2_13 (No. 198)
Inequivalent atoms, fractional coordinates:
1 Cu 0.1325 0.3675 0.6325 (multiplicity 4)
2 Cu 0.1627 0.1627 0.1627 (multiplicity 4)
3 Cu 0.1730 0.8270 0.3270 (multiplicity 4)
4 Ge 0.0372 0.5372 0.9628 (multiplicity 4)
5 Au 0.0277 0.6958 0.6217 (multiplicity 12)

Question: energy of number 1 (La3AlGe)?
Answer: -23.7 eV per cell